Compound: Li3Pa3NiS8
Source: Alexandria
Functional: PBE
Structure: optimized geometry

```
15
Lattice="7.6041 0.0000 0.0000 -3.8021 6.5739 -0.0241 0.0000 -4.3617 6.2632" Properties=species:S:1:pos:R:3 pbc="T T T"
S -2.0010 5.4243 1.6108
S 5.8031 -3.2120 4.6283
Li 1.9010 3.2870 -0.0120
Pa -1.9010 1.1061 3.1196
S 0.0000 -0.1186 4.6047
S 0.0000 2.1932 1.4456
S 3.8021 0.0190 4.7936
Pa 1.9010 1.1061 3.1196
Pa 3.8021 -2.1808 3.1316
S 2.0010 5.4243 1.6108
Ni 0.0000 -2.1808 3.1316
S 3.8021 2.3309 1.6344
S 1.8010 -3.2120 4.6283
Li -1.9010 3.2870 -0.0120
Li 0.0000 0.0000 0.0000
```

Space group: C2/m (12)
Formation energy without anion corrections in eV/atom: -1.2799
Theoretical density in g cm⁻³: 5.5

Compound: Rb2IrPbO4
Source: Alexandria
Functional: PBE
Structure: optimized geometry

```
8
Lattice="5.9357 0.1038 0.1591 -2.4352 5.4141 -0.1591 -2.4352 -2.3244 4.8923" Properties=species:S:1:pos:R:3 pbc="T T T"
O 3.3661 2.9376 1.0919
Rb 0.5326 3.5314 1.1833
O 1.9010 0.7468 1.9227
O -1.2119 2.6853 3.3351
Ir -2.4352 1.5448 2.3666
Pb 0.5326 -0.3379 3.7090
O -1.9247 0.0173 3.4349
Rb 0.0000 0.0000 0.0000
```

Space group: I-4 (82)
Formation energy without anion corrections in eV/atom: -1.0240
Theoretical density in g cm⁻³: 6.6

Compound: Ac2Se2O
Source: Alexandria
Functional: PBE
Structure: optimized geometry

```
5
Lattice="-2.5514 1.0545 2.7461 -3.2214 -4.9894 1.6835 2.1683 -1.8359 5.4803" Properties=species:S:1:pos:R:3 pbc="T T T"
Se -2.7916 -3.8644 7.1725
Ac -3.2412 -3.7273 3.9414
O 0.0000 0.0000 0.0000
Ac -0.3634 -2.0435 5.9686
Se -0.8130 -1.9064 2.7374
```

Space group: Immm (71)
Energy relative to the lowest polymorph listed for this composition in meV/atom: 216
Formation energy without anion corrections in eV/atom: -2.3062
Theoretical density in g cm⁻³: 8.0

- The lowest formation energy without anion corrections belongs to which entry?
  Ac2Se2O